# HoInRh

An optimized crystal structure of HoInRh (GGA-PBEsol, Alexandria).

Calculated values
- ρ (g/cm3) = 10.48
- final energy (eV/atom) = -6.12
- energy of formation from the pure elements (eV/atom) = -0.759

Unit cell a=3.859 b=7.376 c=7.376 alpha=120.00 beta=90.00 gamma=90.00
Positions (direct):
In (0.000, 0.000, 0.743)
Ho (0.500, 0.406, 0.000)
Ho (0.500, 0.594, 0.594)
Rh (0.500, 0.000, 0.000)
In (0.000, 0.257, 0.257)
Ho (0.500, 0.000, 0.406)
In (0.000, 0.743, 0.000)
Rh (0.000, 0.333, 0.667)
Rh (0.000, 0.667, 0.333)